a:
Entry from Alexandria via LeMat-Bulk: crystalline NaPrHg4 at its relaxed geometry (PBE-GGA). Values from VASP.

Cell and atoms, written as Quantum ESPRESSO input:
```
&SYSTEM
  ibrav = 0, nat = 6, ntyp = 3
/
ATOMIC_SPECIES
Na 22.99 Na.upf
Pr 140.91 Pr.upf
Hg 200.59 Hg.upf
CELL_PARAMETERS angstrom
0.000 4.272 4.272
4.272 0.000 4.272
4.272 4.272 0.000
ATOMIC_POSITIONS crystal
Na 0.000 0.000 0.000
Pr 0.750 0.750 0.750
Hg 0.375 0.375 0.375
Hg 0.375 0.375 0.875
Hg 0.375 0.875 0.375
Hg 0.875 0.375 0.375
```

Values from the calculation:
DOS at the Fermi energy: 5.18 states/eV/f.u.

***

b:
Entry from Alexandria via LeMat-Bulk: crystalline NaPrHg4 at its relaxed geometry (PBE-GGA). Values from VASP.

Cell and atoms, written as Quantum ESPRESSO input:
```
&SYSTEM
  ibrav = 0, nat = 6, ntyp = 3
/
ATOMIC_SPECIES
Na 22.99 Na.upf
Pr 140.91 Pr.upf
Hg 200.59 Hg.upf
CELL_PARAMETERS angstrom
5.283 -2.023 0.000
5.283 2.023 0.000
-2.870 0.000 7.274
ATOMIC_POSITIONS crystal
Na 0.000 0.000 0.000
Pr 0.000 0.000 0.500
Hg 0.329 0.329 0.159
Hg 0.335 0.335 0.676
Hg 0.665 0.665 0.324
Hg 0.671 0.671 0.841
```

Values from the calculation:
DOS at the Fermi energy: 2.28 states/eV/f.u.

***

Most stable = b

***

a:
Entry from Alexandria via LeMat-Bulk: crystalline Na2HgPt2 at its relaxed geometry (PBE-GGA). Values from VASP.

Cell and atoms, written as Quantum ESPRESSO input:
```
&SYSTEM
  ibrav = 0, nat = 10, ntyp = 3
/
ATOMIC_SPECIES
Na 22.99 Na.upf
Hg 200.59 Hg.upf
Pt 195.08 Pt.upf
CELL_PARAMETERS angstrom
8.241 0.000 0.000
0.000 8.241 0.000
0.000 0.000 2.847
ATOMIC_POSITIONS crystal
Na 0.117 0.383 0.000
Na 0.383 0.883 0.000
Na 0.617 0.117 0.000
Na 0.883 0.617 0.000
Hg 0.000 0.000 0.000
Hg 0.500 0.500 0.000
Pt 0.182 0.682 0.500
Pt 0.318 0.182 0.500
Pt 0.682 0.818 0.500
Pt 0.818 0.318 0.500
```

Values from the calculation:
DOS at the Fermi energy: 1.78 states/eV/f.u.

***

b:
Entry from Alexandria via LeMat-Bulk: crystalline Na2HgPt2 at its relaxed geometry (PBE-GGA). Values from VASP.

Cell and atoms, written as Quantum ESPRESSO input:
```
&SYSTEM
  ibrav = 0, nat = 5, ntyp = 3
/
ATOMIC_SPECIES
Na 22.99 Na.upf
Hg 200.59 Hg.upf
Pt 195.08 Pt.upf
CELL_PARAMETERS angstrom
-1.890 1.890 7.050
1.890 -1.890 7.050
1.890 1.890 -7.050
ATOMIC_POSITIONS crystal
Na 0.250 0.750 0.500
Na 0.750 0.250 0.500
Hg 0.000 0.000 0.000
Pt 0.406 0.406 0.000
Pt 0.594 0.594 0.000
```

Values from the calculation:
DOS at the Fermi energy: 1.93 states/eV/f.u.

***

c:
Entry from Alexandria via LeMat-Bulk: crystalline Na2HgPt2 at its relaxed geometry (PBE-GGA). Values from VASP.

Cell and atoms, written as Quantum ESPRESSO input:
```
&SYSTEM
  ibrav = 0, nat = 10, ntyp = 3
/
ATOMIC_SPECIES
Na 22.99 Na.upf
Hg 200.59 Hg.upf
Pt 195.08 Pt.upf
CELL_PARAMETERS angstrom
6.896 0.000 0.000
0.000 6.896 0.000
0.000 0.000 4.537
ATOMIC_POSITIONS crystal
Na 0.167 0.333 0.000
Na 0.333 0.833 0.000
Na 0.667 0.167 0.000
Na 0.833 0.667 0.000
Hg 0.000 0.000 0.500
Hg 0.500 0.500 0.500
Pt 0.132 0.632 0.500
Pt 0.368 0.132 0.500
Pt 0.632 0.868 0.500
Pt 0.868 0.368 0.500
```

Values from the calculation:
DOS at the Fermi energy: 0.99 states/eV/f.u.

***

Most stable = c

***

a:
Entry from Alexandria via LeMat-Bulk: crystalline Na2Hg2Pt at its relaxed geometry (PBE-GGA). Values from VASP.

Cell and atoms, written as Quantum ESPRESSO input:
```
&SYSTEM
  ibrav = 0, nat = 5, ntyp = 3
/
ATOMIC_SPECIES
Na 22.99 Na.upf
Hg 200.59 Hg.upf
Pt 195.08 Pt.upf
CELL_PARAMETERS angstrom
-1.968 1.968 7.284
1.968 -1.968 7.284
1.968 1.968 -7.284
ATOMIC_POSITIONS crystal
Na 0.250 0.750 0.500
Na 0.750 0.250 0.500
Hg 0.095 0.095 0.000
Hg 0.905 0.905 0.000
Pt 0.500 0.500 0.000
```

Values from the calculation:
DOS at the Fermi energy: 1.74 states/eV/f.u.

***

b:
Entry from Alexandria via LeMat-Bulk: crystalline Na2Hg2Pt at its relaxed geometry (PBE-GGA). Values from VASP.

Cell and atoms, written as Quantum ESPRESSO input:
```
&SYSTEM
  ibrav = 0, nat = 10, ntyp = 3
/
ATOMIC_SPECIES
Na 22.99 Na.upf
Hg 200.59 Hg.upf
Pt 195.08 Pt.upf
CELL_PARAMETERS angstrom
7.296 0.000 0.000
0.000 7.296 0.000
0.000 0.000 4.423
ATOMIC_POSITIONS crystal
Na 0.145 0.355 0.000
Na 0.355 0.855 0.000
Na 0.645 0.145 0.000
Na 0.855 0.645 0.000
Hg 0.164 0.664 0.500
Hg 0.336 0.164 0.500
Hg 0.664 0.836 0.500
Hg 0.836 0.336 0.500
Pt 0.000 0.000 0.000
Pt 0.500 0.500 0.000
```

Values from the calculation:
DOS at the Fermi energy: 0.67 states/eV/f.u.

***

Most stable = b

***

a:
Entry from Alexandria via LeMat-Bulk: crystalline RbNaHg2Pt at its relaxed geometry (PBE-GGA). Values from VASP.

Cell and atoms, written as Quantum ESPRESSO input:
```
&SYSTEM
  ibrav = 0, nat = 5, ntyp = 4
/
ATOMIC_SPECIES
Rb 85.47 Rb.upf
Na 22.99 Na.upf
Hg 200.59 Hg.upf
Pt 195.08 Pt.upf
CELL_PARAMETERS angstrom
5.384 0.000 0.000
0.000 5.384 0.000
0.000 0.000 6.082
ATOMIC_POSITIONS crystal
Rb 0.000 0.000 0.000
Na 0.500 0.500 0.000
Hg 0.000 0.500 0.500
Hg 0.500 0.000 0.500
Pt 0.000 0.000 0.500
```

Values from the calculation:
DOS at the Fermi energy: 3.12 states/eV/f.u.

***

b:
Entry from Alexandria via LeMat-Bulk: crystalline RbNaHg2Pt at its relaxed geometry (PBE-GGA). Values from VASP.

Cell and atoms, written as Quantum ESPRESSO input:
```
&SYSTEM
  ibrav = 0, nat = 5, ntyp = 4
/
ATOMIC_SPECIES
Rb 85.47 Rb.upf
Na 22.99 Na.upf
Hg 200.59 Hg.upf
Pt 195.08 Pt.upf
CELL_PARAMETERS angstrom
5.420 0.000 0.000
0.000 5.420 0.000
0.000 0.000 5.422
ATOMIC_POSITIONS crystal
Rb 0.000 0.000 0.000
Na 0.500 0.500 0.000
Hg 0.000 0.500 0.500
Hg 0.500 0.000 0.500
Pt 0.500 0.500 0.500
```

Values from the calculation:
DOS at the Fermi energy: 2.24 states/eV/f.u.

***

Most stable = b

***

a:
Entry from Alexandria via LeMat-Bulk: crystalline NaSr2HgPt at its relaxed geometry (PBE-GGA). Values from VASP.

Cell and atoms, written as Quantum ESPRESSO input:
```
&SYSTEM
  ibrav = 0, nat = 5, ntyp = 4
/
ATOMIC_SPECIES
Na 22.99 Na.upf
Sr 87.62 Sr.upf
Hg 200.59 Hg.upf
Pt 195.08 Pt.upf
CELL_PARAMETERS angstrom
5.828 0.000 0.000
0.000 5.828 0.000
0.000 0.000 5.416
ATOMIC_POSITIONS crystal
Na 0.000 0.000 0.000
Sr 0.000 0.500 0.500
Sr 0.500 0.000 0.500
Hg 0.500 0.500 0.000
Pt 0.000 0.000 0.500
```

Values from the calculation:
DOS at the Fermi energy: 2.21 states/eV/f.u.

***

b:
Entry from Alexandria via LeMat-Bulk: crystalline NaSr2HgPt at its relaxed geometry (PBE-GGA). Values from VASP.

Cell and atoms, written as Quantum ESPRESSO input:
```
&SYSTEM
  ibrav = 0, nat = 5, ntyp = 4
/
ATOMIC_SPECIES
Na 22.99 Na.upf
Sr 87.62 Sr.upf
Hg 200.59 Hg.upf
Pt 195.08 Pt.upf
CELL_PARAMETERS angstrom
5.887 0.000 0.000
0.000 5.887 0.000
0.000 0.000 5.366
ATOMIC_POSITIONS crystal
Na 0.000 0.000 0.000
Sr 0.000 0.500 0.500
Sr 0.500 0.000 0.500
Hg 0.500 0.500 0.000
Pt 0.500 0.500 0.500
```

Values from the calculation:
DOS at the Fermi energy: 1.52 states/eV/f.u.

***

Most stable = b